[1]
Material: Li2TaZn
Method: DFT, PBE-GGA
State: relaxed

Lattice parameters (Å, degrees): 2.719 2.719 9.719 90.00 90.00 109.26
Sites, in units of the cell vectors:
Li (0.000, 0.000, 0.983)
Li (0.500, 0.500, 0.250)
Ta (0.000, 0.000, 0.511)
Zn (0.500, 0.500, 0.756)

total magnetization: 0.000 μB per formula unit
space-group type: Cmm2, No. 35
E_tot: -16.4 eV/cell

[2]
Material: LiTaZn
Method: DFT, PBE-GGA
State: relaxed

Lattice parameters (Å, degrees): 7.462 7.314 2.687 82.65 76.43 20.92
Sites, in units of the cell vectors:
Li (0.008, 0.008, 0.992)
Ta (0.329, 0.329, 0.671)
Zn (0.663, 0.663, 0.337)

total magnetization: 0.000 μB per formula unit
excess energy over the best structure of this formula in the dataset: 185 meV per atom
space-group type: Fmm2, No. 42

[3]
Material: LiTaZn4
Method: DFT, PBE-GGA
State: relaxed

Lattice parameters (Å, degrees): 5.062 5.062 5.062 60.00 60.00 60.00
Sites, in units of the cell vectors:
Li (0.750, 0.750, 0.750)
Ta (0.000, 0.000, 0.000)
Zn (0.878, 0.374, 0.374)
Zn (0.374, 0.374, 0.878)
Zn (0.374, 0.878, 0.374)
Zn (0.374, 0.374, 0.374)

total magnetization: 0.000 μB per formula unit
space-group type: F-43m, No. 216
E_tot: -18.1 eV/cell

[4]
Material: LiTaZn
Method: DFT, PBE-GGA
State: relaxed

Lattice parameters (Å, degrees): 4.499 4.499 5.337 90.00 90.00 120.00
Sites, in units of the cell vectors:
Zn (0.333, 0.667, 0.750)
Zn (0.667, 0.333, 0.250)
Li (0.000, 0.000, 0.000)
Li (0.000, 0.000, 0.500)
Ta (0.333, 0.667, 0.250)
Ta (0.667, 0.333, 0.750)

total magnetization: 0.000 μB per formula unit
excess energy over the best structure of this formula in the dataset: 369 meV per atom
space-group type: P6_3/mmc, No. 194

[5]
Material: Li2TaZn
Method: DFT, PBE-GGA
State: relaxed

Lattice parameters (Å, degrees): 4.534 3.763 3.763 90.00 90.00 90.00
Sites, in units of the cell vectors:
Li (0.000, 0.000, 0.000)
Li (0.000, 0.500, 0.500)
Ta (0.500, 0.500, 0.000)
Zn (0.500, 0.000, 0.500)

total magnetization: 0.002 μB per formula unit
space-group type: P4/mmm, No. 123
E_tot: -15.3 eV/cell

[6]
Material: Li2TaZn
Method: DFT, PBE-GGA
State: relaxed

Lattice parameters (Å, degrees): 5.603 5.603 5.603 152.34 129.10 58.91
Sites, in units of the cell vectors:
Li (0.015, 0.015, 0.000)
Li (0.768, 0.268, 0.500)
Ta (0.485, 0.485, 0.000)
Zn (0.233, 0.733, 0.500)

total magnetization: 0.000 μB per formula unit
space-group type: Imm2, No. 44
E_tot: -15.6 eV/cell